1.
DyYBiI2 after structural relaxation. Source: OQMD via LeMat-Bulk, functional PBE.

Cell and atoms, written as POSCAR:
```
DyYBiI2
1.0
4.3847 0.0000 0.0000
-2.1924 3.7973 0.0000
0.0000 0.0000 11.2795
Dy Y Bi I
1 1 1 2
Direct
0.0000 0.0000 0.0000 Dy
0.3333 0.6667 0.3084 Y
0.6667 0.3333 0.1536 Bi
0.0000 0.0000 0.4777 I
0.3333 0.6667 0.8309 I
```

Calculated values
E   -0.17551 hartree per atom

---

2.
KRbCd2 after structural relaxation. Source: OQMD via LeMat-Bulk, functional PBE.

Cell and atoms, written as POSCAR:
```
KRbCd2
1.0
6.9269 0.0000 0.0000
-0.4224 6.9376 0.0000
-1.6157 -2.0072 6.8341
K Rb Cd
2 2 4
Direct
0.2469 0.1561 0.4755 K
0.7531 0.8439 0.5245 K
0.3436 0.7013 0.8443 Rb
0.6564 0.2987 0.1557 Rb
0.0923 0.1922 0.9590 Cd
0.1867 0.5944 0.2755 Cd
0.8133 0.4056 0.7245 Cd
0.9077 0.8078 0.0410 Cd
```

Calculated values
E   -0.03784 hartree per atom

---

3.
TaFeReSn after structural relaxation. Source: OQMD via LeMat-Bulk, functional PBE.

Cell and atoms, written as POSCAR:
```
TaFeReSn
1.0
0.0000 3.1574 3.1574
3.1574 0.0000 3.1574
3.1574 3.1574 0.0000
Ta Fe Re Sn
1 1 1 1
Direct
0.0000 0.0000 0.0000 Ta
0.7500 0.7500 0.7500 Fe
0.2500 0.2500 0.2500 Re
0.5000 0.5000 0.5000 Sn
```

Calculated values
E   -0.33523 hartree per atom

---

4.
CuGeIrPt after structural relaxation. Source: OQMD via LeMat-Bulk, functional PBE.

Cell and atoms, written as POSCAR:
```
CuGeIrPt
1.0
0.0000 3.0843 3.0843
3.0843 0.0000 3.0843
3.0843 3.0843 0.0000
Cu Ge Ir Pt
1 1 1 1
Direct
0.0000 0.0000 0.0000 Cu
0.7500 0.7500 0.7500 Ge
0.5000 0.5000 0.5000 Ir
0.2500 0.2500 0.2500 Pt
```

Calculated values
E   -0.21235 hartree per atom